# 1
# TaTeP2Cl GGA-PBE relaxed
# ρ: 5.40 Mg/m³
data_TaTeP2Cl
_cell_length_a 5.0670
_cell_length_b 5.0670
_cell_length_c 4.8633
_cell_angle_alpha 90.00
_cell_angle_beta 90.00
_cell_angle_gamma 90.00
_symmetry_space_group_name_H-M 'P 4/m m m'
_symmetry_Int_Tables_number 123
_symmetry_space_group_name_Hall '-P 4 2'
loop_
_atom_site_label
_atom_site_type_symbol
_atom_site_fract_x
_atom_site_fract_y
_atom_site_fract_z
Ta1 Ta 0.0000 0.0000 0.0000
Te1 Te 0.5000 0.5000 0.5000
P1 P 0.0000 0.5000 0.5000
Cl1 Cl 0.5000 0.5000 0.0000

# 2
# TaTeP2Cl GGA-PBE relaxed
# ρ: 5.39 Mg/m³
data_TaTeP2Cl
_cell_length_a 4.7649
_cell_length_b 4.7649
_cell_length_c 5.5125
_cell_angle_alpha 90.00
_cell_angle_beta 90.00
_cell_angle_gamma 90.00
_symmetry_space_group_name_H-M 'P 4/m m m'
_symmetry_Int_Tables_number 123
_symmetry_space_group_name_Hall '-P 4 2'
loop_
_atom_site_label
_atom_site_type_symbol
_atom_site_fract_x
_atom_site_fract_y
_atom_site_fract_z
Ta1 Ta 0.0000 0.0000 0.0000
Te1 Te 0.0000 0.0000 0.5000
P1 P 0.0000 0.5000 0.0000
Cl1 Cl 0.5000 0.5000 0.5000

# 3
# TaTePCl2 GGA-PBE relaxed
# ρ: 4.86 Mg/m³
data_TaTePCl2
_cell_length_a 5.0018
_cell_length_b 5.0018
_cell_length_c 5.6059
_cell_angle_alpha 90.00
_cell_angle_beta 90.00
_cell_angle_gamma 90.00
_symmetry_space_group_name_H-M 'P 4/m m m'
_symmetry_Int_Tables_number 123
_symmetry_space_group_name_Hall '-P 4 2'
loop_
_atom_site_label
_atom_site_type_symbol
_atom_site_fract_x
_atom_site_fract_y
_atom_site_fract_z
Ta1 Ta 0.0000 0.0000 0.0000
Te1 Te 0.5000 0.5000 0.5000
P1 P 0.5000 0.5000 0.0000
Cl1 Cl 0.0000 0.5000 0.5000

# 4
# TaTeP2Cl GGA-PBE relaxed
# ρ: 5.86 Mg/m³
data_TaTeP2Cl
_cell_length_a 4.9551
_cell_length_b 4.9551
_cell_length_c 4.6833
_cell_angle_alpha 90.00
_cell_angle_beta 90.00
_cell_angle_gamma 90.00
_symmetry_space_group_name_H-M 'P 4/m m m'
_symmetry_Int_Tables_number 123
_symmetry_space_group_name_Hall '-P 4 2'
loop_
_atom_site_label
_atom_site_type_symbol
_atom_site_fract_x
_atom_site_fract_y
_atom_site_fract_z
Ta1 Ta 0.0000 0.0000 0.0000
Te1 Te 0.5000 0.5000 0.5000
P1 P 0.0000 0.5000 0.0000
Cl1 Cl 0.0000 0.0000 0.5000

# 5
# TaTePCl2 GGA-PBE relaxed
# ρ: 5.87 Mg/m³
data_TaTePCl2
_cell_length_a 4.6941
_cell_length_b 4.6941
_cell_length_c 5.2693
_cell_angle_alpha 90.00
_cell_angle_beta 90.00
_cell_angle_gamma 90.00
_symmetry_space_group_name_H-M 'P 4/m m m'
_symmetry_Int_Tables_number 123
_symmetry_space_group_name_Hall '-P 4 2'
loop_
_atom_site_label
_atom_site_type_symbol
_atom_site_fract_x
_atom_site_fract_y
_atom_site_fract_z
Ta1 Ta 0.0000 0.0000 0.0000
Te1 Te 0.5000 0.5000 0.5000
P1 P 0.0000 0.0000 0.5000
Cl1 Cl 0.0000 0.5000 0.0000

# 6
# TaTiP2Cl GGA-PBE relaxed
# ρ: 4.87 Mg/m³
data_TaTiP2Cl
_cell_length_a 4.8644
_cell_length_b 4.8644
_cell_length_c 4.7029
_cell_angle_alpha 90.00
_cell_angle_beta 90.00
_cell_angle_gamma 90.00
_symmetry_space_group_name_H-M 'P 4/m m m'
_symmetry_Int_Tables_number 123
_symmetry_space_group_name_Hall '-P 4 2'
loop_
_atom_site_label
_atom_site_type_symbol
_atom_site_fract_x
_atom_site_fract_y
_atom_site_fract_z
Ta1 Ta 0.0000 0.0000 0.0000
Ti1 Ti 0.5000 0.5000 0.5000
P1 P 0.0000 0.5000 0.0000
Cl1 Cl 0.0000 0.0000 0.5000

# 7
# TaTiP2Cl GGA-PBE relaxed
# ρ: 5.41 Mg/m³
data_TaTiP2Cl
_cell_length_a 4.7500
_cell_length_b 4.7500
_cell_length_c 4.4395
_cell_angle_alpha 90.00
_cell_angle_beta 90.00
_cell_angle_gamma 90.00
_symmetry_space_group_name_H-M 'P 4/m m m'
_symmetry_Int_Tables_number 123
_symmetry_space_group_name_Hall '-P 4 2'
loop_
_atom_site_label
_atom_site_type_symbol
_atom_site_fract_x
_atom_site_fract_y
_atom_site_fract_z
Ta1 Ta 0.0000 0.0000 0.0000
Ti1 Ti 0.5000 0.5000 0.5000
P1 P 0.0000 0.5000 0.5000
Cl1 Cl 0.5000 0.5000 0.0000

# 8
# TaTlPCl2 GGA-PBE relaxed
# ρ: 6.14 Mg/m³
data_TaTlPCl2
_cell_length_a 4.6776
_cell_length_b 4.6776
_cell_length_c 6.0211
_cell_angle_alpha 90.00
_cell_angle_beta 90.00
_cell_angle_gamma 90.00
_symmetry_space_group_name_H-M 'P 4/m m m'
_symmetry_Int_Tables_number 123
_symmetry_space_group_name_Hall '-P 4 2'
loop_
_atom_site_label
_atom_site_type_symbol
_atom_site_fract_x
_atom_site_fract_y
_atom_site_fract_z
Ta1 Ta 0.0000 0.0000 0.0000
Tl1 Tl 0.0000 0.0000 0.5000
P1 P 0.5000 0.5000 0.5000
Cl1 Cl 0.0000 0.5000 0.0000

# 9
# TaTlPCl2 GGA-PBE relaxed
# ρ: 6.66 Mg/m³
data_TaTlPCl2
_cell_length_a 4.9807
_cell_length_b 4.9807
_cell_length_c 4.9004
_cell_angle_alpha 90.00
_cell_angle_beta 90.00
_cell_angle_gamma 90.00
_symmetry_space_group_name_H-M 'P 4/m m m'
_symmetry_Int_Tables_number 123
_symmetry_space_group_name_Hall '-P 4 2'
loop_
_atom_site_label
_atom_site_type_symbol
_atom_site_fract_x
_atom_site_fract_y
_atom_site_fract_z
Ta1 Ta 0.0000 0.0000 0.0000
Tl1 Tl 0.5000 0.5000 0.5000
P1 P 0.0000 0.0000 0.5000
Cl1 Cl 0.0000 0.5000 0.0000

# 10
# TaTlPCl2 GGA-PBE relaxed
# ρ: 5.81 Mg/m³
data_TaTlPCl2
_cell_length_a 5.1262
_cell_length_b 5.1262
_cell_length_c 5.2963
_cell_angle_alpha 90.00
_cell_angle_beta 90.00
_cell_angle_gamma 90.00
_symmetry_space_group_name_H-M 'P 4/m m m'
_symmetry_Int_Tables_number 123
_symmetry_space_group_name_Hall '-P 4 2'
loop_
_atom_site_label
_atom_site_type_symbol
_atom_site_fract_x
_atom_site_fract_y
_atom_site_fract_z
Ta1 Ta 0.0000 0.0000 0.0000
Tl1 Tl 0.5000 0.5000 0.5000
P1 P 0.5000 0.5000 0.0000
Cl1 Cl 0.0000 0.5000 0.5000

# 11
# TaVP2Cl GGA-PBE relaxed
# ρ: 5.82 Mg/m³
data_TaVP2Cl
_cell_length_a 4.6007
_cell_length_b 4.6007
_cell_length_c 4.4411
_cell_angle_alpha 90.00
_cell_angle_beta 90.00
_cell_angle_gamma 90.00
_symmetry_space_group_name_H-M 'P 4/m m m'
_symmetry_Int_Tables_number 123
_symmetry_space_group_name_Hall '-P 4 2'
loop_
_atom_site_label
_atom_site_type_symbol
_atom_site_fract_x
_atom_site_fract_y
_atom_site_fract_z
Ta1 Ta 0.0000 0.0000 0.0000
V1 V 0.5000 0.5000 0.5000
P1 P 0.0000 0.5000 0.5000
Cl1 Cl 0.5000 0.5000 0.0000

# 12
# TaVPCl2 GGA-PBE relaxed
# ρ: 4.89 Mg/m³
data_TaVPCl2
_cell_length_a 4.7600
_cell_length_b 4.7600
_cell_length_c 4.9983
_cell_angle_alpha 90.00
_cell_angle_beta 90.00
_cell_angle_gamma 90.00
_symmetry_space_group_name_H-M 'P 4/m m m'
_symmetry_Int_Tables_number 123
_symmetry_space_group_name_Hall '-P 4 2'
loop_
_atom_site_label
_atom_site_type_symbol
_atom_site_fract_x
_atom_site_fract_y
_atom_site_fract_z
Ta1 Ta 0.0000 0.0000 0.0000
V1 V 0.5000 0.5000 0.5000
P1 P 0.0000 0.0000 0.5000
Cl1 Cl 0.0000 0.5000 0.0000

# 13
# TaVPCl2 GGA-PBE relaxed
# ρ: 5.37 Mg/m³
data_TaVPCl2
_cell_length_a 4.4847
_cell_length_b 4.4847
_cell_length_c 5.1294
_cell_angle_alpha 90.00
_cell_angle_beta 90.00
_cell_angle_gamma 90.00
_symmetry_space_group_name_H-M 'P 4/m m m'
_symmetry_Int_Tables_number 123
_symmetry_space_group_name_Hall '-P 4 2'
loop_
_atom_site_label
_atom_site_type_symbol
_atom_site_fract_x
_atom_site_fract_y
_atom_site_fract_z
Ta1 Ta 0.0000 0.0000 0.0000
V1 V 0.5000 0.5000 0.5000
P1 P 0.5000 0.5000 0.0000
Cl1 Cl 0.0000 0.5000 0.5000

# 14
# TaVP2Cl GGA-PBE relaxed
# ρ: 4.95 Mg/m³
data_TaVP2Cl
_cell_length_a 4.8580
_cell_length_b 4.8580
_cell_length_c 4.6799
_cell_angle_alpha 90.00
_cell_angle_beta 90.00
_cell_angle_gamma 90.00
_symmetry_space_group_name_H-M 'P 4/m m m'
_symmetry_Int_Tables_number 123
_symmetry_space_group_name_Hall '-P 4 2'
loop_
_atom_site_label
_atom_site_type_symbol
_atom_site_fract_x
_atom_site_fract_y
_atom_site_fract_z
Ta1 Ta 0.0000 0.0000 0.0000
V1 V 0.5000 0.5000 0.5000
P1 P 0.0000 0.5000 0.0000
Cl1 Cl 0.0000 0.0000 0.5000

Respective relative energy among the computed polymorphs values: 6.68; 0.30; 6.51; 0.00; 0.00; 0.00; 1.36; 3.51; 0.00; 7.95; 0.19; 0.00; 1.37; 0.00 eV per formula unit.
Respective total magnetization values: 2.19; 0.00; 3.00; 0.00; 0.00; 2.14; 2.16; 1.80; 0.16; 2.59; 3.20; 3.94; 4.95; 0.24 μB/f.u..
Respective formation energy (no corrections) values: 1.518; 0.241; 1.271; 0.181; -0.030; 0.240; 0.512; 0.272; -0.430; 1.160; 0.684; 0.271; 0.545; 0.646 eV per atom.